Entry 1:
This record from the Alexandria database describes AlTlAg4 after structural relaxation. The functional is GGA-PBE.

Cell lengths 5.579, 5.579, 5.579 Å; angles 60.00, 60.00, 60.00 degrees
Positions (direct):
Ag 0.375 0.874 0.375
Ag 0.375 0.375 0.874
Ag 0.375 0.375 0.375
Ag 0.874 0.375 0.375
Tl 0.000 0.000 0.000
Al 0.750 0.750 0.750

Properties
* magnetization: 0.00 Bohr magnetons per cell
* density of states at the Fermi level: 0.475 states/eV per atom
* ΔH_f (0 K): 0.18 eV/atom

---

Entry 2:
This record from the Alexandria database describes AlTl2Ag2 after structural relaxation. The functional is GGA-PBE.

Cell lengths 6.975, 6.975, 4.908 Å; angles 90.00, 90.00, 90.00 degrees
Positions (direct):
Ag 0.646 0.146 0.000
Ag 0.354 0.854 0.000
Ag 0.854 0.646 0.000
Ag 0.146 0.354 0.000
Tl 0.171 0.671 0.500
Tl 0.671 0.829 0.500
Tl 0.329 0.171 0.500
Tl 0.829 0.329 0.500
Al 0.500 0.500 0.000
Al 0.000 0.000 0.000

Properties
* magnetization: 0.00 Bohr magnetons per cell
* distance to the lowest polymorph of the same formula: 0.000 eV per atom
* density of states at the Fermi level: 0.509 states/eV per atom
* ΔH_f (0 K): 0.18 eV/atom

---

Entry 3:
This record from the Alexandria database describes AlTl2Ag after structural relaxation. The functional is GGA-PBE.

Cell lengths 3.240, 3.240, 10.083 Å; angles 90.00, 90.00, 114.49 degrees
Positions (direct):
Tl 0.000 0.000 0.495
Tl 0.000 0.000 0.005
Ag 0.500 0.500 0.250
Al 0.500 0.500 0.750

Properties
* magnetization: 0.00 Bohr magnetons per cell
* distance to the lowest polymorph of the same formula: 0.149 eV per atom
* density of states at the Fermi level: 0.274 states/eV per atom
* ΔH_f (0 K): 0.25 eV/atom

---

Entry 4:
This record from the Alexandria database describes AlTlAg2 after structural relaxation. The functional is GGA-PBE.

Cell lengths 5.177, 5.177, 3.204 Å; angles 90.00, 90.00, 109.66 degrees
Positions (direct):
Tl 0.000 0.500 0.500
Al 0.500 0.000 0.500
Ag 0.500 0.500 0.000
Ag 0.000 0.000 0.000

Properties
* magnetization: 0.00 Bohr magnetons per cell
* distance to the lowest polymorph of the same formula: 0.100 eV per atom
* density of states at the Fermi level: 0.247 states/eV per atom
* ΔH_f (0 K): 0.16 eV/atom

---

Entry 5:
This record from the Alexandria database describes AlTl2Ag after structural relaxation. The functional is GGA-PBE.

Cell lengths 4.404, 4.404, 10.866 Å; angles 78.31, 78.31, 90.00 degrees
Positions (direct):
Tl 0.875 0.876 0.750
Tl 0.626 0.125 0.250
Tl 0.375 0.374 0.750
Tl 0.124 0.625 0.250
Al 0.250 0.750 0.500
Al 0.500 0.500 0.000
Ag 0.750 0.250 0.500
Ag 0.000 0.000 0.000

Properties
* magnetization: 0.00 Bohr magnetons per cell
* distance to the lowest polymorph of the same formula: 0.209 eV per atom
* density of states at the Fermi level: 0.467 states/eV per atom
* ΔH_f (0 K): 0.31 eV/atom

---

Entry 6:
This record from the Alexandria database describes AlTlAg2 after structural relaxation. The functional is GGA-PBE.

Cell lengths 5.296, 5.296, 5.296 Å; angles 132.11, 132.11, 70.06 degrees
Positions (direct):
Ag 0.250 0.750 0.500
Ag 0.000 0.000 0.000
Tl 0.750 0.250 0.500
Al 0.500 0.500 0.000

Properties
* magnetization: 0.00 Bohr magnetons per cell
* distance to the lowest polymorph of the same formula: 0.104 eV per atom
* density of states at the Fermi level: 0.238 states/eV per atom
* ΔH_f (0 K): 0.16 eV/atom